First-principles (PBE) data for a relaxed structure of Be2BiPd2, as listed in Alexandria via LeMat-Bulk.

Computed properties:
The space group is P4/mbm, No. 127.

a = 7.2531 Å, b = 7.2531 Å, c = 2.9472 Å
α = 90.00°, β = 90.00°, γ = 90.00°
Last column: nearest neighbours and their distance in Å.
Sites, in units of the cell vectors:
Be: 0.1258 0.3742 0.0000  4 Pd 2.44, 1 Be 2.58
Be: 0.3742 0.8742 0.0000  4 Pd 2.44, 1 Be 2.58
Be: 0.6258 0.1258 0.0000  4 Pd 2.44, 1 Be 2.58
Be: 0.8742 0.6258 0.0000  4 Pd 2.44, 1 Be 2.58
Bi: 0.0000 0.0000 0.5000  4 Pd 2.79, 2 Bi 2.95
Bi: 0.5000 0.5000 0.5000  4 Pd 2.79, 2 Bi 2.95
Pd: 0.1418 0.6418 0.5000  4 Be 2.44
Pd: 0.3582 0.1418 0.5000  4 Be 2.44
Pd: 0.6418 0.8582 0.5000  4 Be 2.44
Pd: 0.8582 0.3582 0.5000  4 Be 2.44


First-principles (PBE) data for a relaxed structure of Be2Bi2Pd, as listed in Alexandria via LeMat-Bulk.

Computed properties:
The space group is I4/mmm, No. 139.

a = 5.0890 Å, b = 5.0890 Å, c = 5.0890 Å
α = 115.53°, β = 115.53°, γ = 97.93°
Last column: nearest neighbours and their distance in Å.
Sites, in units of the cell vectors:
Be: 0.1557 0.1557 0.0000  1 Be 2.08, 1 Pd 2.30
Be: 0.8443 0.8443 0.0000  1 Be 2.08, 1 Pd 2.30
Bi: 0.2500 0.7500 0.5000  4 Be 2.79
Bi: 0.7500 0.2500 0.5000  4 Be 2.79
Pd: 0.5000 0.5000 0.0000  2 Be 2.30


| no. | E_form (kJ/mol of atoms) | energy above the most stable polymorph in this dataset (meV per atom) |
| --- | --- | --- |
| 1 | -10.20 | 73 |
| 2 | 36.01 | 99 |